Entry from Alexandria via LeMat-Bulk: a geometry-optimized ScCo4Si2 structure (PBE).

Lattice parameters (Å, degrees): 6.9743 6.9743 3.5877 90.00 90.00 90.00
Last column: nearest neighbours and their distance in Å.
Space group P4_2/mnm (No. 136)
Symmetry-distinct sites (fractional):
Sc1 0.0000 0.0000 0.0000 (multiplicity 2)  6 Si 2.73-2.84, 8 Co 3.05
Co1 0.0815 0.3448 0.5000 (multiplicity 8)  3 Si 2.29-2.30, 5 Co 2.44-2.49
Si1 0.2235 0.7765 0.5000 (multiplicity 4)  6 Co 2.29-2.30

Properties
VASP energy = -99.24 eV for the cell shown
Magnetization = 0.00 μB per formula unit
Volume = 174.5 Å³ per cell
Distance to the lowest polymorph of the same formula = 0.0000 eV per atom
Density = 6.4 Mg/m³

---

Entry from Alexandria via LeMat-Bulk: a geometry-optimized NiPbBr2 structure (PBE).

Lattice parameters (Å, degrees): 4.3098 3.7946 7.4958 90.00 106.62 90.00
Last column: nearest neighbours and their distance in Å.
Space group Pm (No. 6)
Symmetry-distinct sites (fractional):
Ni1 0.0000 0.0000 0.0000 (multiplicity 1)  3 Br 2.37-2.45
Pb1 0.4502 0.5000 0.9014 (multiplicity 1)  4 Ni 2.95-2.96, 2 Br 3.12
Br1 0.1063 0.5000 0.2152 (multiplicity 1)  2 Ni 2.45
Br2 0.8352 0.0000 0.6703 (multiplicity 1)  1 Ni 2.37

Properties
VASP energy = -14.16 eV for the cell shown
Magnetization = 0.23 μB per formula unit
Volume = 117.5 Å³ per cell
Distance to the lowest polymorph of the same formula = 0.0000 eV per atom
Density = 6.0 Mg/m³

---

Entry from Alexandria via LeMat-Bulk: a geometry-optimized CaSi2As structure (PBE).

Lattice parameters (Å, degrees): 3.6528 3.6528 22.6583 90.00 90.00 120.00
Last column: nearest neighbours and their distance in Å.
Space group R-3m (No. 166, hexagonal axes)
Symmetry-distinct sites (fractional):
Ca1 0.0000 0.0000 0.0000 (multiplicity 3)  6 Si 3.08
Si1 0.0000 0.0000 0.2342 (multiplicity 6)  3 As 2.61
As1 0.0000 0.0000 0.5000 (multiplicity 3)  6 Si 2.61

Properties
VASP energy = -50.77 eV for the cell shown
Magnetization = 0.00 μB per formula unit
Volume = 261.8 Å³ per cell
Density = 3.3 Mg/m³